# 1
Here is a geometry-optimized Nd2PaIn3Te6 structure from the Alexandria database. Energies are from PBE-GGA.

a b c (Å): 7.687 7.687 8.624
angles (deg): 98.54 98.54 119.95
Atoms (fractional coordinates):
1 Nd 0.166 0.834 0.000
2 Nd 0.834 0.166 0.000
3 Pa 0.500 0.500 0.000
4 In 0.000 0.000 0.500
5 In 0.331 0.669 0.500
6 In 0.669 0.331 0.500
7 Te 0.101 0.425 0.774
8 Te 0.253 0.253 0.229
9 Te 0.425 0.101 0.774
10 Te 0.575 0.899 0.226
11 Te 0.747 0.747 0.771
12 Te 0.899 0.575 0.226

## Properties
Formation energy (no corrections), eV/f.u.: -9.9


# 2
Here is a geometry-optimized NdInPb2 structure from the Alexandria database. Energies are from PBE-GGA.

a b c (Å): 4.128 4.128 6.927
angles (deg): 90.00 90.00 90.00
Atoms (fractional coordinates):
1 Nd 0.000 0.000 0.000
2 In 0.000 0.000 0.500
3 Pb 0.500 0.500 0.265
4 Pb 0.500 0.500 0.735

## Properties
Energy above the lowest structure with this stoichiometry, eV/atom: 0.152
Energy of formation, eV/atom: -0.244


# 3
Here is a geometry-optimized Nd3In2Pb structure from the Alexandria database. Energies are from PBE-GGA.

a b c (Å): 5.657 16.995 3.696
angles (deg): 90.00 90.00 90.00
Atoms (fractional coordinates):
1 Nd 0.250 0.083 0.000
2 Nd 0.250 0.417 0.000
3 Nd 0.250 0.750 0.001
4 Nd 0.750 0.250 0.999
5 Nd 0.750 0.583 0.000
6 Nd 0.750 0.917 0.000
7 In 0.250 0.582 0.500
8 In 0.250 0.918 0.500
9 In 0.750 0.082 0.500
10 In 0.750 0.418 0.500
11 Pb 0.250 0.250 0.499
12 Pb 0.750 0.750 0.501

## Properties
Energy above the lowest structure with this stoichiometry, eV/atom: 0.005
Energy of formation, eV/atom: -0.478


# 4
Here is a geometry-optimized NdIn2Pb structure from the Alexandria database. Energies are from PBE-GGA.

a b c (Å): 4.706 4.706 4.971
angles (deg): 90.00 90.00 90.00
Atoms (fractional coordinates):
1 Nd 0.000 0.000 0.000
2 In 0.000 0.500 0.500
3 In 0.500 0.000 0.500
4 Pb 0.500 0.500 0.000

## Properties
Energy of formation, eV/atom: -0.429


# 5
Here is a geometry-optimized Nd12In5Pb2 structure from the Alexandria database. Energies are from PBE-GGA.

a b c (Å): 7.560 8.490 9.979
angles (deg): 84.86 77.39 78.39
Atoms (fractional coordinates):
1 Nd 0.045 0.070 0.299
2 Nd 0.071 0.385 0.665
3 Nd 0.154 0.331 0.019
4 Nd 0.332 0.690 0.092
5 Nd 0.394 0.689 0.443
6 Nd 0.432 0.984 0.818
7 Nd 0.568 0.016 0.182
8 Nd 0.606 0.311 0.557
9 Nd 0.668 0.310 0.908
10 Nd 0.846 0.669 0.981
11 Nd 0.929 0.615 0.335
12 Nd 0.955 0.930 0.701
13 In 0.000 0.000 0.000
14 In 0.289 0.613 0.780
15 In 0.311 0.363 0.311
16 In 0.689 0.637 0.689
17 In 0.711 0.387 0.220
18 Pb 0.297 0.072 0.517
19 Pb 0.703 0.928 0.483

## Properties
Energy of formation, eV/atom: -0.313


# 6
Here is a geometry-optimized Nd4In2Pb structure from the Alexandria database. Energies are from PBE-GGA.

a b c (Å): 9.407 9.407 9.407
angles (deg): 33.62 33.62 33.62
Atoms (fractional coordinates):
1 Nd 0.119 0.119 0.119
2 Nd 0.372 0.372 0.372
3 Nd 0.628 0.628 0.628
4 Nd 0.881 0.881 0.881
5 In 0.252 0.252 0.252
6 In 0.748 0.748 0.748
7 Pb 0.500 0.500 0.500

## Properties
Energy of formation, eV/atom: -0.324


# 7
Here is a geometry-optimized Nd5In2Pb2 structure from the Alexandria database. Energies are from PBE-GGA.

a b c (Å): 9.209 9.209 8.389
angles (deg): 90.00 90.00 54.90
Atoms (fractional coordinates):
1 Nd 0.000 0.000 0.000
2 Nd 0.039 0.683 0.672
3 Nd 0.183 0.539 0.172
4 Nd 0.317 0.961 0.672
5 Nd 0.461 0.817 0.172
6 Nd 0.500 0.500 0.500
7 Nd 0.539 0.183 0.828
8 Nd 0.683 0.039 0.328
9 Nd 0.817 0.461 0.828
10 Nd 0.961 0.317 0.328
11 In 0.123 0.877 0.377
12 In 0.377 0.623 0.877
13 In 0.623 0.377 0.123
14 In 0.877 0.123 0.623
15 Pb 0.207 0.207 0.000
16 Pb 0.293 0.293 0.500
17 Pb 0.707 0.707 0.500
18 Pb 0.793 0.793 0.000

## Properties
Energy of formation, eV/atom: -0.491


# 8
Here is a geometry-optimized NdIn4Pb structure from the Alexandria database. Energies are from PBE-GGA.

a b c (Å): 6.160 6.160 6.160
angles (deg): 60.00 60.00 60.00
Atoms (fractional coordinates):
1 Nd 0.000 0.000 0.000
2 In 0.125 0.625 0.625
3 In 0.625 0.125 0.625
4 In 0.625 0.625 0.125
5 In 0.625 0.625 0.625
6 Pb 0.250 0.250 0.250

## Properties
Energy of formation, eV/atom: -0.155


The magnetic moment results, record by record, are as follows: 1.979, 0.000, 0.000, 0.000, 0.000, 0.000, 0.000, 0.000 μB per formula unit.
The VASP energy results, record by record, are as follows: -4.663, -3.975, -4.392, -3.917, -4.435, -4.360, -4.573, -3.394 eV/atom.